1.
GGA-PBE Nb5CrRu4, optimized geometry; energy of formation from the pure elements = -0.184 eV per atom; space-group type = No. 123
1.0
3.100 0.000 0.000
0.000 3.100 0.000
0.000 0.000 16.558
Nb Cr Ru
5 1 4
direct
0.000 0.000 0.000
0.000 0.000 0.206
0.000 0.000 0.409
0.000 0.000 0.591
0.000 0.000 0.794
0.500 0.500 0.500
0.500 0.500 0.111
0.500 0.500 0.307
0.500 0.500 0.693
0.500 0.500 0.889

2.
GGA-PBE Nb2Cr2SnRu5, optimized geometry; energy of formation from the pure elements = 0.043 eV per atom; space-group type = No. 127
1.0
9.150 0.000 0.000
0.000 9.150 0.000
0.000 0.000 3.696
Nb Cr Sn Ru
4 4 2 10
direct
0.174 0.326 0.000
0.326 0.826 0.000
0.674 0.174 0.000
0.826 0.674 0.000
0.128 0.628 0.000
0.372 0.128 0.000
0.628 0.872 0.000
0.872 0.372 0.000
0.000 0.000 0.000
0.500 0.500 0.000
0.000 0.500 0.500
0.069 0.789 0.500
0.211 0.069 0.500
0.289 0.569 0.500
0.431 0.289 0.500
0.500 0.000 0.500
0.569 0.711 0.500
0.711 0.431 0.500
0.789 0.931 0.500
0.931 0.211 0.500

3.
GGA-PBE SrNb2CrRu, optimized geometry; energy of formation from the pure elements = 1.001 eV per atom; space-group type = No. 123
1.0
4.935 0.000 0.000
0.000 4.935 0.000
0.000 0.000 4.682
Sr Nb Cr Ru
1 2 1 1
direct
0.000 0.000 0.000
0.000 0.500 0.500
0.500 0.000 0.500
0.500 0.500 0.000
0.500 0.500 0.500

4.
GGA-PBE Ta2NbCrRu, optimized geometry; energy of formation from the pure elements = 1.543 eV per atom; space-group type = No. 123
1.0
4.746 0.000 0.000
0.000 4.746 0.000
0.000 0.000 4.748
Ta Nb Cr Ru
2 1 1 1
direct
0.000 0.500 0.000
0.500 0.000 0.000
0.000 0.000 0.500
0.500 0.500 0.500
0.000 0.000 0.000

5.
GGA-PBE YNbCr2Ru, optimized geometry; energy of formation from the pure elements = 0.857 eV per atom; space-group type = No. 123
1.0
4.706 0.000 0.000
0.000 4.706 0.000
0.000 0.000 4.779
Y Nb Cr Ru
1 1 2 1
direct
0.000 0.000 0.000
0.500 0.500 0.500
0.000 0.500 0.500
0.500 0.000 0.500
0.500 0.500 0.000

6.
GGA-PBE NbCrS2, optimized geometry; polymorph energy (0 for the lowest one) = 0.421 eV per formula unit; space-group type = No. 122
1.0
5.530 0.000 0.000
0.000 5.530 0.000
0.000 0.000 10.498
Nb Cr S
4 4 8
direct
0.000 0.000 0.000
0.000 0.500 0.250
0.500 0.000 0.750
0.500 0.500 0.500
0.000 0.000 0.500
0.000 0.500 0.750
0.500 0.000 0.250
0.500 0.500 0.000
0.236 0.250 0.625
0.250 0.736 0.875
0.250 0.764 0.375
0.264 0.250 0.125
0.736 0.750 0.125
0.750 0.236 0.375
0.750 0.264 0.875
0.764 0.750 0.625

7.
GGA-PBE NbCrS5, optimized geometry; space-group type = No. 11; raw total energy = -0.23804 Ha/atom
1.0
9.387 0.000 0.000
0.000 3.388 0.000
-3.984 0.000 9.088
Nb Cr S
2 2 10
direct
0.209 0.250 0.133
0.791 0.750 0.867
0.065 0.750 0.398
0.935 0.250 0.602
0.011 0.750 0.134
0.127 0.750 0.646
0.245 0.250 0.405
0.325 0.750 0.013
0.429 0.750 0.239
0.571 0.250 0.761
0.675 0.250 0.987
0.755 0.750 0.595
0.873 0.250 0.354
0.989 0.250 0.866

8.
GGA-PBE Nb2CrS, optimized geometry; space-group type = No. 166; raw total energy = -0.29973 Ha/atom
1.0
3.030 0.000 0.000
-1.515 2.624 0.000
0.000 0.000 24.938
Nb Cr S
6 3 3
direct
0.000 0.000 0.092
0.000 0.000 0.908
0.333 0.667 0.575
0.333 0.667 0.758
0.667 0.333 0.242
0.667 0.333 0.425
0.000 0.000 0.000
0.333 0.667 0.667
0.667 0.333 0.333
0.000 0.000 0.500
0.333 0.667 0.167
0.667 0.333 0.833

no.,Fermi-level density of states (states/eV/cell)
1,8.541
2,22.326
3,7.644
4,10.569
5,4.436
6,14.960
7,5.165
8,10.854